(1)
DFT (meta-GGA SCAN) results for a PBEsol-optimized structure of P4PtPb.

SG = No. 216
total magnetization = 0.00 μB per formula unit
uncorrected energy = -30.596 eV/atom
E_form = 4.00 eV/f.u.

Lattice parameters (Å, degrees): 5.3780 5.3780 5.3780 60.00 60.00 60.00
Atoms (fractional coordinates):
1 P 0.3948 0.3948 0.3948
2 P 0.3948 0.3948 0.8157
3 P 0.3948 0.8157 0.3948
4 P 0.8157 0.3948 0.3948
5 Pt 0.7500 0.7500 0.7500
6 Pb 0.0000 0.0000 0.0000

***

(2)
DFT (meta-GGA SCAN) results for a PBEsol-optimized structure of RbP2Pb2.

SG = No. 139
total magnetization = 0.00 μB per formula unit
uncorrected energy = -38.643 eV/atom
E_form = -0.12 eV/f.u.

Lattice parameters (Å, degrees): 6.5655 6.5655 6.5655 133.72 133.72 67.52
Atoms (fractional coordinates):
1 Rb 0.0000 0.0000 0.0000
2 P 0.2500 0.7500 0.5000
3 P 0.7500 0.2500 0.5000
4 Pb 0.3466 0.3466 0.0000
5 Pb 0.6534 0.6534 0.0000

***

(3)
DFT (meta-GGA SCAN) results for a PBEsol-optimized structure of Re2PPb.

SG = No. 12
total magnetization = 0.00 μB per formula unit
uncorrected energy = -55.803 eV/atom
polymorph energy (0 for the lowest one) = 154.0 meV/atom
E_form = 5.16 eV/f.u.

Lattice parameters (Å, degrees): 5.1945 5.1945 3.0235 106.00 106.00 110.96
Atoms (fractional coordinates):
1 Re 0.0000 0.5000 0.0000
2 Re 0.5000 0.0000 0.0000
3 P 0.0000 0.0000 0.5000
4 Pb 0.5000 0.5000 0.5000

***

(4)
DFT (meta-GGA SCAN) results for a PBEsol-optimized structure of Re2PPb.

SG = No. 119
total magnetization = 0.00 μB per formula unit
uncorrected energy = -55.957 eV/atom
polymorph energy (0 for the lowest one) = 0.0 meV/atom
E_form = 4.55 eV/f.u.

Lattice parameters (Å, degrees): 4.7603 4.7603 4.7603 127.81 127.81 76.93
Atoms (fractional coordinates):
1 Re 0.0000 0.0000 0.0000
2 Re 0.7500 0.2500 0.5000
3 P 0.2500 0.7500 0.5000
4 Pb 0.5000 0.5000 0.0000

***

(5)
DFT (meta-GGA SCAN) results for a PBEsol-optimized structure of PRh2Pb.

SG = No. 225
total magnetization = 0.00 μB per formula unit
uncorrected energy = -38.203 eV/atom
E_form = 0.91 eV/f.u.

Lattice parameters (Å, degrees): 4.4655 4.4655 4.4655 60.00 60.00 60.00
Atoms (fractional coordinates):
1 P 0.0000 0.0000 0.0000
2 Rh 0.2500 0.2500 0.2500
3 Rh 0.7500 0.7500 0.7500
4 Pb 0.5000 0.5000 0.5000

***

(6)
DFT (meta-GGA SCAN) results for a PBEsol-optimized structure of PRh3Pb.

SG = No. 221
total magnetization = 2.30 μB per formula unit
uncorrected energy = -35.672 eV/atom
E_form = 9.13 eV/f.u.

Lattice parameters (Å, degrees): 4.8553 4.8553 4.8553 90.00 90.00 90.00
Atoms (fractional coordinates):
1 P 0.0000 0.0000 0.0000
2 Rh 0.0000 0.5000 0.5000
3 Rh 0.5000 0.0000 0.5000
4 Rh 0.5000 0.5000 0.0000
5 Pb 0.5000 0.5000 0.5000

***

(7)
DFT (meta-GGA SCAN) results for a PBEsol-optimized structure of P2RuPb.

SG = No. 216
total magnetization = 0.00 μB per formula unit
uncorrected energy = -31.924 eV/atom
E_form = 3.71 eV/f.u.

Lattice parameters (Å, degrees): 4.5558 4.5558 4.5558 60.00 60.00 60.00
Atoms (fractional coordinates):
1 P 0.0000 0.0000 0.0000
2 P 0.2500 0.2500 0.2500
3 Ru 0.7500 0.7500 0.7500
4 Pb 0.5000 0.5000 0.5000

***

(8)
DFT (meta-GGA SCAN) results for a PBEsol-optimized structure of PRuPb2.

SG = No. 44
total magnetization = 0.00 μB per formula unit
uncorrected energy = -49.054 eV/atom
E_form = 0.57 eV/f.u.

Lattice parameters (Å, degrees): 7.0656 7.0656 7.0656 150.20 148.13 44.19
Atoms (fractional coordinates):
1 P 0.0000 0.0000 0.0000
2 Ru 0.9025 0.4025 0.5000
3 Pb 0.3086 0.8086 0.5000
4 Pb 0.5904 0.5904 0.0000

***

(9)
DFT (meta-GGA SCAN) results for a PBEsol-optimized structure of P2RuPb.

SG = No. 71
total magnetization = 0.00 μB per formula unit
uncorrected energy = -32.499 eV/atom
E_form = 1.41 eV/f.u.

Lattice parameters (Å, degrees): 5.6140 5.6140 5.6140 149.81 121.49 67.25
Atoms (fractional coordinates):
1 P 0.1950 0.1950 0.0000
2 P 0.8050 0.8050 0.0000
3 Ru 0.0000 0.5000 0.5000
4 Pb 0.5000 0.0000 0.5000

***

(10)
DFT (meta-GGA SCAN) results for a PBEsol-optimized structure of PRuPb2.

SG = No. 71
total magnetization = 0.00 μB per formula unit
uncorrected energy = -48.430 eV/atom
E_form = 3.07 eV/f.u.

Lattice parameters (Å, degrees): 5.2410 5.2410 5.2410 137.64 122.53 73.94
Atoms (fractional coordinates):
1 P 0.0000 0.0000 0.0000
2 Ru 0.5000 0.5000 0.0000
3 Pb 0.2474 0.7474 0.5000
4 Pb 0.7526 0.2526 0.5000

***

(11)
DFT (meta-GGA SCAN) results for a PBEsol-optimized structure of PRu2Pb.

SG = No. 8
total magnetization = 0.00 μB per formula unit
uncorrected energy = -38.995 eV/atom
E_form = -0.15 eV/f.u.

Lattice parameters (Å, degrees): 4.2930 4.2930 5.8688 99.55 99.55 40.54
Atoms (fractional coordinates):
1 P 0.0000 0.0000 0.0000
2 Ru 0.4447 0.4447 0.2721
3 Ru 0.7117 0.7117 0.9704
4 Pb 0.2116 0.2116 0.5512

***

(12)
DFT (meta-GGA SCAN) results for a PBEsol-optimized structure of PPbS2.

SG = No. 225
total magnetization = 0.00 μB per formula unit
uncorrected energy = -25.844 eV/atom

Lattice parameters (Å, degrees): 4.7401 4.7401 4.7401 60.00 60.00 60.00
Atoms (fractional coordinates):
1 P 0.0000 0.0000 0.0000
2 Pb 0.5000 0.5000 0.5000
3 S 0.2500 0.2500 0.2500
4 S 0.7500 0.7500 0.7500

***

(13)
DFT (meta-GGA SCAN) results for a PBEsol-optimized structure of P2Pb3S8.

SG = No. 198
total magnetization = 0.00 μB per formula unit
uncorrected energy = -25.507 eV/atom

Lattice parameters (Å, degrees): 10.8251 10.8251 10.8251 90.00 90.00 90.00
Atoms (fractional coordinates):
1 P 0.0724 0.0724 0.0724
2 P 0.1515 0.6515 0.8485
3 P 0.3485 0.3485 0.3485
4 P 0.4276 0.9276 0.5724
5 P 0.5724 0.4276 0.9276
6 P 0.6515 0.8485 0.1515
7 P 0.8485 0.1515 0.6515
8 P 0.9276 0.5724 0.4276
9 Pb 0.0266 0.2567 0.3616
10 Pb 0.1384 0.9734 0.7567
11 Pb 0.2433 0.6384 0.5266
12 Pb 0.2567 0.3616 0.0266
13 Pb 0.3616 0.0266 0.2567
14 Pb 0.4734 0.7433 0.8616
15 Pb 0.5266 0.2433 0.6384
16 Pb 0.6384 0.5266 0.2433
17 Pb 0.7433 0.8616 0.4734
18 Pb 0.7567 0.1384 0.9734
19 Pb 0.8616 0.4734 0.7433
20 Pb 0.9734 0.7567 0.1384
21 S 0.0060 0.7434 0.4098
22 S 0.0386 0.4614 0.5386
23 S 0.0426 0.5426 0.9574
24 S 0.0493 0.7279 0.7078
25 S 0.0902 0.9940 0.2434
26 S 0.2078 0.4507 0.2721
27 S 0.2279 0.7922 0.9507
28 S 0.2434 0.0902 0.9940
29 S 0.2566 0.9098 0.4940
30 S 0.2721 0.2078 0.4507
31 S 0.2922 0.5493 0.7721
32 S 0.4098 0.0060 0.7434
33 S 0.4507 0.2721 0.2078
34 S 0.4574 0.4574 0.4574
35 S 0.4614 0.5386 0.0386
36 S 0.4940 0.2566 0.9098
37 S 0.5060 0.7566 0.5902
38 S 0.5386 0.0386 0.4614
39 S 0.5426 0.9574 0.0426
40 S 0.5493 0.7721 0.2922
41 S 0.5902 0.5060 0.7566
42 S 0.7078 0.0493 0.7279
43 S 0.7279 0.7078 0.0493
44 S 0.7434 0.4098 0.0060
45 S 0.7566 0.5902 0.5060
46 S 0.7721 0.2922 0.5493
47 S 0.7922 0.9507 0.2279
48 S 0.9098 0.4940 0.2566
49 S 0.9507 0.2279 0.7922
50 S 0.9574 0.0426 0.5426
51 S 0.9614 0.9614 0.9614
52 S 0.9940 0.2434 0.0902

***

(14)
DFT (meta-GGA SCAN) results for a PBEsol-optimized structure of SrP2PbS.

SG = No. 123
total magnetization = 1.37 μB per formula unit
uncorrected energy = -24.960 eV/atom

Lattice parameters (Å, degrees): 5.2867 5.2867 5.3101 90.00 90.00 90.00
Atoms (fractional coordinates):
1 Sr 0.0000 0.0000 0.0000
2 P 0.0000 0.5000 0.0000
3 P 0.5000 0.0000 0.0000
4 Pb 0.5000 0.5000 0.5000
5 S 0.0000 0.0000 0.5000

***

(15)
DFT (meta-GGA SCAN) results for a PBEsol-optimized structure of TaPPbS2.

SG = No. 123
total magnetization = 1.48 μB per formula unit
uncorrected energy = -32.864 eV/atom

Lattice parameters (Å, degrees): 4.9120 4.9120 4.9846 90.00 90.00 90.00
Atoms (fractional coordinates):
1 Ta 0.0000 0.0000 0.0000
2 P 0.5000 0.5000 0.0000
3 Pb 0.5000 0.5000 0.5000
4 S 0.0000 0.5000 0.5000
5 S 0.5000 0.0000 0.5000

***

(16)
DFT (meta-GGA SCAN) results for a PBEsol-optimized structure of ZnP2PbS.

SG = No. 123
total magnetization = 2.71 μB per formula unit
uncorrected energy = -22.620 eV/atom

Lattice parameters (Å, degrees): 5.1793 5.1793 5.0643 90.00 90.00 90.00
Atoms (fractional coordinates):
1 Zn 0.0000 0.0000 0.0000
2 P 0.0000 0.5000 0.5000
3 P 0.5000 0.0000 0.5000
4 Pb 0.5000 0.5000 0.5000
5 S 0.5000 0.5000 0.0000

***

(17)
DFT (meta-GGA SCAN) results for a PBEsol-optimized structure of ZrP2PbS.

SG = No. 123
total magnetization = 0.00 μB per formula unit
uncorrected energy = -26.394 eV/atom

Lattice parameters (Å, degrees): 4.9443 4.9443 4.9630 90.00 90.00 90.00
Atoms (fractional coordinates):
1 Zr 0.0000 0.0000 0.0000
2 P 0.0000 0.5000 0.5000
3 P 0.5000 0.0000 0.5000
4 Pb 0.5000 0.5000 0.5000
5 S 0.5000 0.5000 0.0000

***

(18)
DFT (meta-GGA SCAN) results for a PBEsol-optimized structure of SbP2Pb.

SG = No. 123
total magnetization = 0.00 μB per formula unit
uncorrected energy = -32.893 eV/atom
polymorph energy (0 for the lowest one) = 394.5 meV/atom

Lattice parameters (Å, degrees): 4.9214 4.9214 3.4404 90.00 90.00 90.00
Atoms (fractional coordinates):
1 Sb 0.0000 0.0000 0.0000
2 P 0.0000 0.5000 0.5000
3 P 0.5000 0.0000 0.5000
4 Pb 0.5000 0.5000 0.0000

***

(19)
DFT (meta-GGA SCAN) results for a PBEsol-optimized structure of SbP2Pb.

SG = No. 99
total magnetization = 0.00 μB per formula unit
uncorrected energy = -33.287 eV/atom
polymorph energy (0 for the lowest one) = 0.0 meV/atom

Lattice parameters (Å, degrees): 3.9623 3.9623 5.8423 90.00 90.00 90.00
Atoms (fractional coordinates):
1 Sb 0.0000 0.0000 0.0000
2 P 0.0000 0.0000 0.4388
3 P 0.5000 0.5000 0.9676
4 Pb 0.5000 0.5000 0.4932

***

(20)
DFT (meta-GGA SCAN) results for a PBEsol-optimized structure of Sb2PPb.

SG = No. 123
total magnetization = 0.00 μB per formula unit
uncorrected energy = -39.718 eV/atom
polymorph energy (0 for the lowest one) = 375.1 meV/atom

Lattice parameters (Å, degrees): 4.3433 4.3433 5.2525 90.00 90.00 90.00
Atoms (fractional coordinates):
1 Sb 0.0000 0.5000 0.0000
2 Sb 0.5000 0.0000 0.0000
3 P 0.0000 0.0000 0.5000
4 Pb 0.5000 0.5000 0.5000

***

(21)
DFT (meta-GGA SCAN) results for a PBEsol-optimized structure of SbPPb3.

SG = No. 57
total magnetization = 0.00 μB per formula unit
uncorrected energy = -54.886 eV/atom

Lattice parameters (Å, degrees): 12.3362 6.7674 13.8405 90.00 90.00 90.00
Atoms (fractional coordinates):
1 Sb 0.1614 0.1931 0.2500
2 Sb 0.1614 0.3069 0.7500
3 Sb 0.1702 0.7500 0.0000
4 Sb 0.1702 0.7500 0.5000
5 Sb 0.8298 0.2500 0.0000
6 Sb 0.8298 0.2500 0.5000
7 Sb 0.8386 0.6931 0.2500
8 Sb 0.8386 0.8069 0.7500
9 P 0.4099 0.0996 0.6212
10 P 0.4099 0.0996 0.8788
11 P 0.4099 0.4004 0.1212
12 P 0.4099 0.4004 0.3788
13 P 0.5901 0.5996 0.6212
14 P 0.5901 0.5996 0.8788
15 P 0.5901 0.9004 0.1212
16 P 0.5901 0.9004 0.3788
17 Pb 0.0108 0.0345 0.6219
18 Pb 0.0108 0.0345 0.8781
19 Pb 0.0108 0.4655 0.1219
20 Pb 0.0108 0.4655 0.3781
21 Pb 0.2480 0.2500 0.0000
22 Pb 0.2480 0.2500 0.5000
23 Pb 0.2776 0.6134 0.2500
24 Pb 0.2776 0.8866 0.7500
25 Pb 0.4177 0.0738 0.2500
26 Pb 0.4177 0.4262 0.7500
27 Pb 0.4293 0.7500 0.0000
28 Pb 0.4293 0.7500 0.5000
29 Pb 0.5707 0.2500 0.0000
30 Pb 0.5707 0.2500 0.5000
31 Pb 0.5823 0.5738 0.2500
32 Pb 0.5823 0.9262 0.7500
33 Pb 0.7224 0.1134 0.2500
34 Pb 0.7224 0.3866 0.7500
35 Pb 0.7520 0.7500 0.0000
36 Pb 0.7520 0.7500 0.5000
37 Pb 0.9892 0.5345 0.6219
38 Pb 0.9892 0.5345 0.8781
39 Pb 0.9892 0.9655 0.1219
40 Pb 0.9892 0.9655 0.3781

***

(22)
DFT (meta-GGA SCAN) results for a PBEsol-optimized structure of SbP2Pb.

SG = No. 44
total magnetization = 0.00 μB per formula unit
uncorrected energy = -33.129 eV/atom
polymorph energy (0 for the lowest one) = 158.2 meV/atom

Lattice parameters (Å, degrees): 5.8301 5.8301 5.8301 147.20 125.68 64.93
Atoms (fractional coordinates):
1 Sb 0.0000 0.0000 0.0000
2 P 0.5885 0.5885 0.0000
3 P 0.7466 0.2466 0.5000
4 Pb 0.3023 0.8023 0.5000

***

(23)
DFT (meta-GGA SCAN) results for a PBEsol-optimized structure of SbPPb4.

SG = No. 216
total magnetization = 0.00 μB per formula unit
uncorrected energy = -57.850 eV/atom

Lattice parameters (Å, degrees): 6.2621 6.2621 6.2621 60.00 60.00 60.00
Atoms (fractional coordinates):
1 Sb 0.0000 0.0000 0.0000
2 P 0.2500 0.2500 0.2500
3 Pb 0.1255 0.6248 0.6248
4 Pb 0.6248 0.1255 0.6248
5 Pb 0.6248 0.6248 0.1255
6 Pb 0.6248 0.6248 0.6248

***

(24)
DFT (meta-GGA SCAN) results for a PBEsol-optimized structure of Sb2PPb.

SG = No. 99
total magnetization = 0.00 μB per formula unit
uncorrected energy = -40.093 eV/atom
polymorph energy (0 for the lowest one) = 0.0 meV/atom

Lattice parameters (Å, degrees): 4.1728 4.1728 6.3417 90.00 90.00 90.00
Atoms (fractional coordinates):
1 Sb 0.0000 0.0000 0.0000
2 Sb 0.5000 0.5000 0.0985
3 P 0.5000 0.5000 0.4913
4 Pb 0.0000 0.0000 0.5149

***

(25)
DFT (meta-GGA SCAN) results for a PBEsol-optimized structure of Sb2PPb.

SG = No. 139
total magnetization = 0.00 μB per formula unit
uncorrected energy = -39.723 eV/atom
polymorph energy (0 for the lowest one) = 369.9 meV/atom

Lattice parameters (Å, degrees): 6.2348 6.2348 6.2348 139.87 139.87 58.05
Atoms (fractional coordinates):
1 Sb 0.2500 0.7500 0.5000
2 Sb 0.7500 0.2500 0.5000
3 P 0.0000 0.0000 0.0000
4 Pb 0.5000 0.5000 0.0000